# AlCo2Si

An optimized crystal structure of AlCo2Si (PBE, Alexandria).

The space group is Immm (No. 71) and the conventional cell measures 2.570, 4.353 and 9.793 Å, with angles of 90.00, 90.00 and 90.00 degrees. The distinct sites, in fractional coordinates, are Al at (0.000, 0.000, 0.000), Co at (0.000, 0.000, 0.269) and Si at (0.000, 0.000, 0.500).

The value obtained for the calculated density is 5241 kg/m3. The crystal system is orthorhombic. For the formation energy from raw total energies, the calculation gives 0.441 eV/atom. The total energy comes out at -5.403 eV per atom.



# Y2HoIn

An optimized crystal structure of Y2HoIn (PBE, Alexandria).

The space group is P4/mmm (No. 123) and the conventional cell measures 3.588, 3.588 and 9.189 Å, with angles of 90.00, 90.00 and 90.00 degrees. The distinct sites, in fractional coordinates, are Y at (0.000, 0.000, 0.227), Ho at (0.500, 0.500, 0.500) and In at (0.500, 0.500, 0.000).

The energy relative to the elements is -243 meV per atom. As for the relative energy among the computed polymorphs: 0.028 eV/atom. The value obtained for the calculated density is 6422 kg/m3. The crystal system is tetragonal. The total energy comes out at -5.304 eV per atom.



# Rb3SbF

An optimized crystal structure of Rb3SbF (PBE, Alexandria).

The space group is Pm-3m (No. 221) and the conventional cell measures 5.678, 5.678 and 5.678 Å, with angles of 90.00, 90.00 and 90.00 degrees. The distinct sites, in fractional coordinates, are Rb at (0.000, 0.000, 0.500), Sb at (0.500, 0.500, 0.500) and F at (0.000, 0.000, 0.000).

As for the relative energy among the computed polymorphs: 0.000 eV/atom. The value obtained for the calculated density is 3602 kg/m3. The crystal system is cubic. For the formation energy from raw total energies, the calculation gives -1.226 eV/atom. The total energy comes out at -3.006 eV per atom.



# Cs4Rb3SrF8

An optimized crystal structure of Cs4Rb3SrF8 (PBE, Alexandria).

The space group is R-3m (No. 166, hexagonal axes) and the conventional cell measures 8.3931, 8.3931 and 21.0207 Å, with angles of 90.00, 90.00 and 120.00 degrees. The distinct sites, in fractional coordinates, are Cs at (0.0000, 0.0000, 0.0000), Cs at (0.0000, 0.5000, 0.0000), Rb at (0.0000, 0.5000, 0.5000), Sr at (0.0000, 0.0000, 0.5000), F at (0.0000, 0.0000, 0.2438) and F at (0.0498, 0.5249, 0.2327).

The value obtained for the calculated density is 3991 kg/m3. The crystal system is trigonal. For the formation energy from raw total energies, the calculation gives -2.653 eV/atom. The total energy comes out at -4.088 eV per atom.



# Sr2ReRh

An optimized crystal structure of Sr2ReRh (PBE, Alexandria).

The space group is R-3m (No. 166, hexagonal axes) and the conventional cell measures 3.2706, 3.2706 and 29.2914 Å, with angles of 90.00, 90.00 and 120.00 degrees. The distinct sites, in fractional coordinates, are Sr at (0.0000, 0.0000, 0.2450), Re at (0.0000, 0.0000, 0.0000) and Rh at (0.0000, 0.0000, 0.5000).

The energy relative to the elements is 936 meV per atom. As for the relative energy among the computed polymorphs: 0.764 eV/atom. The value obtained for the calculated density is 8525 kg/m3. The crystal system is trigonal. The total energy comes out at -4.855 eV per atom.



# NbZn5Ni6

An optimized crystal structure of NbZn5Ni6 (PBE, Alexandria).

The space group is P2/m (No. 10) and the conventional cell measures 4.325, 5.509 and 6.397 Å, with angles of 90.00, 97.89 and 90.00 degrees. The distinct sites, in fractional coordinates, are Nb at (0.000, 0.000, 0.000), Zn at (0.000, 0.500, 0.000), Zn at (0.349, 0.500, 0.669), Zn at (0.355, 0.000, 0.665), Ni at (0.149, 0.254, 0.335) and Ni at (0.500, 0.255, 0.000).

The energy relative to the elements is -221 meV per atom. The value obtained for the calculated density is 8492 kg/m3. The crystal system is monoclinic. The total energy comes out at -4.482 eV per atom.



# KAl2Rh

An optimized crystal structure of KAl2Rh (PBE, Alexandria).

The space group is Imm2 (No. 44) and the conventional cell measures 2.917, 4.124 and 15.785 Å, with angles of 90.00, 90.00 and 90.00 degrees. The distinct sites, in fractional coordinates, are K at (0.000, 0.000, 0.000), Al at (0.000, 0.000, 0.331), Al at (0.000, 0.500, 0.191) and Rh at (0.000, 0.500, 0.702).

The energy relative to the elements is -233 meV per atom. As for the relative energy among the computed polymorphs: 0.104 eV/atom. The value obtained for the calculated density is 3428 kg/m3. The crystal system is orthorhombic. The total energy comes out at -4.216 eV per atom.



# Pr2Sm3Hg2

An optimized crystal structure of Pr2Sm3Hg2 (PBE, Alexandria).

The space group is C2/m (No. 12) and the conventional cell measures 12.292, 4.699 and 8.521 Å, with angles of 90.00, 114.49 and 90.00 degrees. The distinct sites, in fractional coordinates, are Pr at (0.139, 0.000, 0.298), Sm at (0.000, 0.500, 0.500), Sm at (0.126, 0.500, 0.956) and Hg at (0.156, 0.000, 0.704).

The energy relative to the elements is -192 meV per atom. As for the relative energy among the computed polymorphs: 0.013 eV/atom. The value obtained for the calculated density is 8409 kg/m3. The crystal system is monoclinic. The total energy comes out at -3.666 eV per atom.



# FeCo2PdC

An optimized crystal structure of FeCo2PdC (PBE, Alexandria).

The space group is P4/mmm (No. 123) and the conventional cell measures 3.783, 3.783 and 3.923 Å, with angles of 90.00, 90.00 and 90.00 degrees. The distinct sites, in fractional coordinates, are Fe at (0.000, 0.000, 0.000), Co at (0.000, 0.500, 0.500), Pd at (0.500, 0.500, 0.000) and C at (0.000, 0.000, 0.500).

The energy relative to the elements is 125 meV per atom. The value obtained for the calculated density is 8639 kg/m3. The crystal system is tetragonal. The total energy comes out at -7.293 eV per atom.



# Pm3TmAg3

An optimized crystal structure of Pm3TmAg3 (PBE, Alexandria).

The space group is C2/m (No. 12) and the conventional cell measures 10.045, 10.836 and 7.135 Å, with angles of 90.00, 91.33 and 90.00 degrees. The distinct sites, in fractional coordinates, are Pm at (0.000, 0.178, 0.000), Pm at (0.000, 0.271, 0.500), Pm at (0.140, 0.500, 0.869), Tm at (0.247, 0.500, 0.364), Ag at (0.069, 0.000, 0.323) and Ag at (0.241, 0.250, 0.228).

The energy relative to the elements is -123 meV per atom. The value obtained for the calculated density is 7935 kg/m3. The crystal system is monoclinic. The total energy comes out at -4.020 eV per atom.



# CaAlCu6Si

An optimized crystal structure of CaAlCu6Si (PBE, Alexandria).

The space group is Imma (No. 74) and the conventional cell measures 5.457, 7.302 and 13.980 Å, with angles of 90.00, 90.00 and 90.00 degrees. The distinct sites, in fractional coordinates, are Ca at (0.000, 0.250, 0.016), Al at (0.000, 0.000, 0.500), Cu at (0.000, 0.250, 0.387), Cu at (0.000, 0.250, 0.754), Cu at (0.249, 0.033, 0.846) and Si at (0.250, 0.250, 0.250).

The value obtained for the calculated density is 5681 kg/m3. The crystal system is orthorhombic. For the formation energy from raw total energies, the calculation gives -0.028 eV/atom. The total energy comes out at -4.000 eV per atom.



# Mg2TcH4

An optimized crystal structure of Mg2TcH4 (PBE, Alexandria).

The space group is Cmcm (No. 63) and the conventional cell measures 8.698, 6.003 and 4.874 Å, with angles of 90.00, 90.00 and 90.00 degrees. The distinct sites, in fractional coordinates, are Mg at (0.160, 0.190, 0.250), Tc at (0.000, 0.353, 0.750), H at (0.130, 0.500, 0.000) and H at (0.137, 0.142, 0.750).

As for the relative energy among the computed polymorphs: 0.006 eV/atom. The value obtained for the calculated density is 3931 kg/m3. The crystal system is orthorhombic. The total energy comes out at -3.937 eV per atom.



> Among the records above, which one has the lowest calculated density?

KAl2Rh



> What is the calculated density in the second record?

6422 kg/m3